(1)
Compound: SmTm2Zn2
Source: the Alexandria database
Functional: PBE
Structure: optimized geometry

```
SmTm2Zn2
1.0
-1.498 2.798 -4.126
-5.679 0.443 2.362
2.751 5.000 5.675
Sm Tm Zn
2 4 4
direct
0.584 0.906 0.168 Sm
0.416 0.406 0.832 Sm
0.042 0.257 0.083 Tm
0.200 0.648 0.400 Tm
0.800 0.148 0.600 Tm
0.958 0.757 0.917 Tm
0.626 0.413 0.253 Zn
0.221 0.142 0.441 Zn
0.779 0.642 0.559 Zn
0.374 0.913 0.747 Zn
```

Results
N(E_F)	9.2	states/eV/cell
SG	Cmc2_1
ΔE to the lowest computed polymorph	67.2	meV per atom
crystal system	orthorhombic
DFT formation energy	-195	meV/atom

=====

(2)
Compound: Ti4Al2C
Source: the Alexandria database
Functional: PBE
Structure: optimized geometry

```
Ti4Al2C
1.0
3.039 0.000 0.000
0.000 7.549 -1.029
0.000 -4.766 5.472
Ti Al C
4 2 1
direct
0.500 0.929 0.787 Ti
0.000 0.449 0.242 Ti
0.500 0.214 0.356 Ti
0.000 0.694 0.901 Ti
0.500 0.323 0.822 Al
0.500 0.820 0.321 Al
0.000 0.071 0.071 C
```

Results
N(E_F)	6.5	states/eV/cell
SG	P2/m
ΔE to the lowest computed polymorph	0.0	meV per atom
crystal system	monoclinic
DFT formation energy	-379	meV/atom

=====

(3)
Compound: FePBr2
Source: the Alexandria database
Functional: PBE
Structure: optimized geometry

```
FePBr2
1.0
3.302 0.000 0.000
0.000 6.328 0.000
0.000 0.000 4.190
Br Fe P
2 1 1
direct
0.000 0.000 0.000 Br
0.500 0.500 0.000 Br
0.500 0.000 0.500 Fe
0.000 0.500 0.500 P
```

Results
N(E_F)	3.2	states/eV/cell
SG	Pmmm
ΔE to the lowest computed polymorph	712.6	meV per atom
crystal system	orthorhombic
uncorrected formation energy	0.66	eV/atom

=====

(4)
Compound: KSb2RhI
Source: the Alexandria database
Functional: PBE
Structure: optimized geometry

```
KSb2RhI
1.0
-5.191 -2.818 0.062
0.282 -0.389 5.888
-2.838 5.239 0.482
I Sb K Rh
1 2 1 1
direct
0.000 0.000 0.500 I
0.000 0.500 0.000 Sb
0.500 0.000 0.000 Sb
0.000 0.000 0.000 K
0.500 0.500 0.500 Rh
```

Results
N(E_F)	10.3	states/eV/cell
SG	P4/mmm
ΔE to the lowest computed polymorph	1774.2	meV per atom
crystal system	tetragonal
uncorrected formation energy	1.58	eV/atom

=====

(5)
Compound: Tl2ZnCdAg
Source: the Alexandria database
Functional: PBE
Structure: optimized geometry

```
Tl2ZnCdAg
1.0
-1.161 -2.429 1.824
2.106 -5.087 -2.462
4.929 -1.447 4.015
Tl Zn Ag Cd
2 1 1 1
direct
0.650 0.123 0.314 Tl
0.947 0.002 0.807 Tl
0.173 0.440 0.928 Zn
0.432 0.674 0.173 Ag
0.792 0.568 0.560 Cd
```

Results
N(E_F)	1.8	states/eV/cell
SG	P1
ΔE to the lowest computed polymorph	1.1	meV per atom
crystal system	triclinic
DFT formation energy	87	meV/atom

=====

(6)
Compound: PuGa3NiIr
Source: the Alexandria database
Functional: PBE
Structure: optimized geometry

```
PuGa3NiIr
1.0
-3.576 -4.036 1.517
2.305 -4.315 -6.050
2.603 -0.042 6.025
Pu Ga Ni Ir
2 6 2 2
direct
0.750 0.295 0.590 Pu
0.250 0.705 0.410 Pu
0.250 0.186 0.372 Ga
0.000 0.249 0.000 Ga
0.500 0.751 0.000 Ga
0.500 0.249 0.000 Ga
0.000 0.751 0.000 Ga
0.750 0.814 0.628 Ga
0.250 0.968 0.936 Ni
0.750 0.032 0.064 Ni
0.250 0.417 0.834 Ir
0.750 0.583 0.166 Ir
```

Results
N(E_F)	25.8	states/eV/cell
SG	Cmcm
crystal system	orthorhombic
DFT formation energy	-247	meV/atom

=====

(7)
Compound: BeNbN2
Source: the Alexandria database
Functional: PBE
Structure: optimized geometry

```
BeNbN2
1.0
-0.770 2.941 -3.256
-3.355 -2.526 -1.488
-4.818 2.346 0.210
Be Nb N
2 2 4
direct
0.500 0.500 0.000 Be
0.250 0.750 0.500 Be
0.000 0.000 0.000 Nb
0.750 0.250 0.500 Nb
0.582 0.125 0.250 N
0.168 0.625 0.250 N
0.375 0.418 0.750 N
0.875 0.832 0.750 N
```

Results
N(E_F)	4.0	states/eV/cell
SG	I-42d
crystal system	tetragonal
uncorrected formation energy	-0.68	eV/atom

=====

(8)
Compound: Ho2CdFe
Source: the Alexandria database
Functional: PBE
Structure: optimized geometry

```
Ho2CdFe
1.0
3.537 0.000 0.000
0.000 5.085 0.000
0.000 0.000 5.085
Fe Ho Cd
1 2 1
direct
0.500 0.500 0.500 Fe
0.000 0.000 0.500 Ho
0.000 0.500 0.000 Ho
0.500 0.000 0.000 Cd
```

Results
N(E_F)	7.2	states/eV/cell
SG	P4/mmm
ΔE to the lowest computed polymorph	120.9	meV per atom
crystal system	tetragonal
DFT formation energy	3	meV/atom